## KNa2UTe4 (PBE)

Data for a relaxed structure of KNa2UTe4.

Calculated values
SG ... I-42m
Formation energy from raw total energies ... -5.00 eV/f.u.

Geometry as POSCAR:
```
KNa2UTe4
1.0
8.3704 0.0000 0.0000
0.0000 8.3704 0.0000
0.0000 0.0000 8.9522
K Na U Te
2 4 2 8
direct
0.0000 0.0000 0.0000 K
0.5000 0.5000 0.5000 K
0.0000 0.5000 0.2500 Na
0.0000 0.5000 0.7500 Na
0.5000 0.0000 0.2500 Na
0.5000 0.0000 0.7500 Na
0.0000 0.0000 0.5000 U
0.5000 0.5000 0.0000 U
0.2159 0.2159 0.6486 Te
0.2159 0.7841 0.3514 Te
0.2841 0.2841 0.1486 Te
0.2841 0.7159 0.8514 Te
0.7159 0.2841 0.8514 Te
0.7159 0.7159 0.1486 Te
0.7841 0.2159 0.3514 Te
0.7841 0.7841 0.6486 Te
```

---

## NdPa2RuC4 (PBE)

Data for a relaxed structure of NdPa2RuC4.

Calculated values
DFT formation energy ... -0.140 eV/atom
SG ... Cmcm

Geometry as POSCAR:
```
NdPa2RuC4
1.0
1.8000 -5.9493 0.0000
1.8000 5.9493 0.0000
0.0000 0.0000 12.0169
Nd Pa Ru C
2 4 2 8
direct
0.1111 0.8889 0.7500 Nd
0.8889 0.1111 0.2500 Nd
0.3677 0.6323 0.5442 Pa
0.3677 0.6323 0.9558 Pa
0.6323 0.3677 0.0442 Pa
0.6323 0.3677 0.4558 Pa
0.1529 0.8471 0.2500 Ru
0.8471 0.1529 0.7500 Ru
0.0000 0.0000 0.0000 C
0.0000 0.0000 0.5000 C
0.2612 0.7388 0.1229 C
0.2612 0.7388 0.3771 C
0.4268 0.5732 0.7500 C
0.5732 0.4268 0.2500 C
0.7388 0.2612 0.6229 C
0.7388 0.2612 0.8771 C
```

---

## Be2CuAs (PBE)

Data for a relaxed structure of Be2CuAs.

Calculated values
DFT formation energy ... 0.265 eV/atom
SG ... P4/mmm

Geometry as POSCAR:
```
Be2CuAs
1.0
3.7142 0.0000 0.0000
0.0000 3.7142 0.0000
0.0000 0.0000 3.4248
Be Cu As
2 1 1
direct
0.0000 0.5000 0.0000 Be
0.5000 0.0000 0.0000 Be
0.0000 0.0000 0.5000 Cu
0.5000 0.5000 0.5000 As
```

---

Which formula does entry 1 have?
KNa2UTe4